## Ba2V2O7 (GGA+U)

Data for Ba2V2O7 after structural relaxation.

Structure (CIF):
```
data_Ba2V2O7
_chemical_formula_sum 'Ba8 V8 O28'
_symmetry_space_group_name_H-M 'P -1'
_symmetry_Int_Tables_number 2
_cell_length_a 7.4929
_cell_length_b 7.5136
_cell_length_c 13.7629
_cell_angle_alpha 81.39
_cell_angle_beta 88.06
_cell_angle_gamma 89.47
loop_
_symmetry_equiv_pos_as_xyz
'x,y,z'
'-x,-y,-z'
loop_
_atom_site_label
_atom_site_type_symbol
_atom_site_fract_x
_atom_site_fract_y
_atom_site_fract_z
Ba1 Ba 0.0838 0.3337 0.1573
Ba2 Ba 0.2319 0.7305 0.3481
Ba3 Ba 0.3325 0.2828 0.8602
Ba4 Ba 0.3629 0.8722 0.6397
V1 V 0.1577 0.8089 0.0855
V2 V 0.1697 0.1936 0.4129
V3 V 0.2284 0.3972 0.6061
V4 V 0.4290 0.8009 0.8930
O1 O 0.0013 0.1253 0.3467
O2 O 0.0078 0.3228 0.9518
O3 O 0.0637 0.9577 0.1534
O4 O 0.0902 0.4313 0.7041
O5 O 0.0928 0.2803 0.5260
O6 O 0.2924 0.3497 0.3366
O7 O 0.2922 0.6633 0.1602
O8 O 0.2944 0.9169 0.9786
O9 O 0.2990 0.6627 0.8341
O10 O 0.3055 0.5958 0.5432
O11 O 0.3120 0.0126 0.4449
O12 O 0.3951 0.3128 0.0507
O13 O 0.4002 0.2616 0.6547
O14 O 0.4940 0.0312 0.1961
```

Calculated values
Raw total energy: -322.73 eV for the cell shown
D(E_F): 0.00 states/eV/f.u.